Here is a geometry-optimized Fe3O2F4 structure from Alexandria. Energies are from PBE+U.

Output
The value obtained for the energy is -5.833 eV/atom. Its relative energy among the computed polymorphs is 15 meV/atom. The calculation puts the total magnetization at 14.00 μB/f.u.

Cell lengths 6.7565, 6.7630, 9.4497 Å; angles 90.00, 90.50, 90.00 degrees
With the nearest neighbours (Å) after each atom.
Space group C2 (No. 5)
One atom of each set of equivalent atoms:
Fe1 0.0000 0.0000 0.0000 (multiplicity 2)  2 O 2.05, 4 F 2.11-2.21
Fe2 0.0000 0.4952 0.5000 (multiplicity 2)  2 O 2.04, 4 F 2.12-2.21
Fe3 0.0105 0.0334 0.3215 (multiplicity 4)  2 O 1.89-1.90, 2 F 2.06-2.07
Fe4 0.0290 0.4979 0.8225 (multiplicity 4)  2 O 1.89-1.90, 2 F 2.07-2.08
O1 0.0032 0.3129 0.6719 (multiplicity 4)  3 Fe 1.89-2.04
O2 0.1911 0.0091 0.1692 (multiplicity 4)  3 Fe 1.89-2.05
F1 0.0000 0.3187 0.0000 (multiplicity 2)  3 Fe 2.08-2.16
F2 0.0000 0.6884 0.0000 (multiplicity 2)  3 Fe 2.11-2.13
F3 0.0078 0.7181 0.6711 (multiplicity 4)  3 Fe 2.07-2.21
F4 0.1860 0.0113 0.5015 (multiplicity 4)  3 Fe 2.07-2.15
F5 0.2153 0.0131 0.8250 (multiplicity 4)  3 Fe 2.06-2.21